1.
A plane-wave DFT calculation with PBE was carried out for an optimized crystal structure of SiPSe.

Values from the calculation:
Raw formation energy (eV/atom): 0.42
V (Å³/cell): 121
Energy above the most stable polymorph in this dataset (meV/atom): 380
E_tot (eV per atom): -4.349

abc: 3.527 3.527 9.749
angles: 90.00 90.00 90.00
Space group I4mm (No. 107)
Inequivalent atoms, fractional coordinates:
Si 0.000 0.000 0.000
P 0.000 0.000 0.451
Se 0.000 0.000 0.684


2.
A plane-wave DFT calculation with PBE was carried out for an optimized crystal structure of TiTcP.

Values from the calculation:
V (Å³/cell): 87
Energy above the most stable polymorph in this dataset (meV/atom): 313
E_tot (eV per atom): -8.581

abc: 4.597 4.676 4.901
angles: 61.82 73.41 72.31
Space group P1 (No. 1)
Inequivalent atoms, fractional coordinates:
Ti 0.000 0.000 0.000
Ti 0.401 0.902 0.430
Tc 0.021 0.511 0.494
Tc 0.635 0.579 0.054
P 0.225 0.437 0.958
P 0.793 0.064 0.545


3.
A plane-wave DFT calculation with PBE was carried out for an optimized crystal structure of TmPaAu.

Values from the calculation:
V (Å³/cell): 72
Energy above the most stable polymorph in this dataset (meV/atom): 221
E_tot (eV per atom): -5.767

abc: 5.0289 5.0289 3.2858
angles: 90.00 90.00 120.00
Space group P3m1 (No. 156)
Inequivalent atoms, fractional coordinates:
Tm 0.0000 0.0000 0.0000
Pa 0.3333 0.6667 0.5734
Au 0.6667 0.3333 0.3164


4.
A plane-wave DFT calculation with PBE was carried out for an optimized crystal structure of Ag2RuAu.

Values from the calculation:
V (Å³/cell): 135
Energy above the most stable polymorph in this dataset (meV/atom): 74
E_tot (eV per atom): -4.193

abc: 9.643 2.734 5.164
angles: 90.00 98.57 90.00
Space group Cm (No. 8)
Inequivalent atoms, fractional coordinates:
Ag 0.000 0.000 0.000
Ag 0.246 0.000 0.763
Ru 0.499 0.000 0.497
Au 0.255 0.500 0.275


Repeat the first record exactly.
A plane-wave DFT calculation with PBE was carried out for an optimized crystal structure of SiPSe.

Values from the calculation:
Raw formation energy (eV/atom): 0.42
V (Å³/cell): 121
Energy above the most stable polymorph in this dataset (meV/atom): 380
E_tot (eV per atom): -4.349

abc: 3.527 3.527 9.749
angles: 90.00 90.00 90.00
Space group I4mm (No. 107)
Inequivalent atoms, fractional coordinates:
Si 0.000 0.000 0.000
P 0.000 0.000 0.451
Se 0.000 0.000 0.684


- Look up the energy above the most stable polymorph in this dataset of the fourth one.
  74 meV/atom


- What is the V in the second record?
  87 Å³/cell